Record 1
# KAlMo2 PBE optimized geometry
data_KAlMo2
_chemical_formula_sum 'K1 Al1 Mo2'
_symmetry_space_group_name_H-M 'P 1 m 1'
_symmetry_Int_Tables_number 6
_cell_length_a 2.778
_cell_length_b 4.005
_cell_length_c 8.157
_cell_angle_alpha 90.00
_cell_angle_beta 96.05
_cell_angle_gamma 90.00
loop_
_symmetry_equiv_pos_as_xyz
'x,y,z'
'x,-y,z'
loop_
_atom_site_label
_atom_site_type_symbol
_atom_site_fract_x
_atom_site_fract_y
_atom_site_fract_z
K1 K 0.000 0.000 0.000
Al1 Al 0.400 0.500 0.669
Mo1 Mo 0.499 0.500 0.343
Mo2 Mo 0.848 0.000 0.506
# Total magnetic moment, μB per formula unit: 0.0
# DFT formation energy, eV per atom: 0.516

Record 2
# LaY2Si PBE optimized geometry
data_LaY2Si
_chemical_formula_sum 'La2 Y4 Si2'
_symmetry_space_group_name_H-M 'I 4/m m m'
_symmetry_Int_Tables_number 139
_symmetry_space_group_name_Hall '-I 4 2'
_cell_length_a 4.669
_cell_length_b 4.669
_cell_length_c 9.806
_cell_angle_alpha 90.00
_cell_angle_beta 90.00
_cell_angle_gamma 90.00
loop_
_atom_site_label
_atom_site_type_symbol
_atom_site_fract_x
_atom_site_fract_y
_atom_site_fract_z
La1 La 0.000 0.000 0.000
Y1 Y 0.000 0.500 0.250
Si1 Si 0.000 0.000 0.500
# Total magnetic moment, μB per formula unit: 0.0
# ΔE_f (raw), eV/f.u.: -0.7

Record 3
# RbCuC2 PBE optimized geometry
data_RbCuC2
_chemical_formula_sum 'Rb4 Cu4 C8'
_symmetry_space_group_name_H-M 'F m -3 m'
_symmetry_Int_Tables_number 225
_symmetry_space_group_name_Hall '-F 4 2 3'
_cell_length_a 6.208
_cell_length_b 6.208
_cell_length_c 6.208
_cell_angle_alpha 90.00
_cell_angle_beta 90.00
_cell_angle_gamma 90.00
loop_
_atom_site_label
_atom_site_type_symbol
_atom_site_fract_x
_atom_site_fract_y
_atom_site_fract_z
Rb1 Rb 0.000 0.000 0.000
Cu1 Cu 0.000 0.000 0.500
C1 C 0.250 0.250 0.250
# Total magnetic moment, μB per formula unit: 0.0
# DFT formation energy, eV per atom: 2.885
# Energy above the lowest structure with this stoichiometry, eV per atom: 2.612

Record 4
# Ta2MoSe PBE optimized geometry
data_Ta2MoSe
_chemical_formula_sum 'Ta4 Mo2 Se2'
_symmetry_space_group_name_H-M 'I m m 2'
_symmetry_Int_Tables_number 44
_cell_length_a 3.285
_cell_length_b 4.291
_cell_length_c 9.804
_cell_angle_alpha 90.00
_cell_angle_beta 90.00
_cell_angle_gamma 90.00
loop_
_symmetry_equiv_pos_as_xyz
'x,y,z'
'-x,-y,z'
'-x,y,z'
'x,-y,z'
'x+1/2,y+1/2,z+1/2'
'-x+1/2,-y+1/2,z+1/2'
'-x+1/2,y+1/2,z+1/2'
'x+1/2,-y+1/2,z+1/2'
loop_
_atom_site_label
_atom_site_type_symbol
_atom_site_fract_x
_atom_site_fract_y
_atom_site_fract_z
Ta1 Ta 0.000 0.000 0.000
Ta2 Ta 0.000 0.500 0.242
Mo1 Mo 0.000 0.500 0.736
Se1 Se 0.000 0.000 0.456
# Total magnetic moment, μB per formula unit: 0.0
# ΔE_f (raw), eV/f.u.: 0.2

Record 5
# ZnSiC3 PBE optimized geometry
data_ZnSiC3
_chemical_formula_sum 'Zn1 Si1 C3'
_symmetry_space_group_name_H-M 'P m -3 m'
_symmetry_Int_Tables_number 221
_symmetry_space_group_name_Hall '-P 4 2 3'
_cell_length_a 3.780
_cell_length_b 3.780
_cell_length_c 3.780
_cell_angle_alpha 90.00
_cell_angle_beta 90.00
_cell_angle_gamma 90.00
loop_
_atom_site_label
_atom_site_type_symbol
_atom_site_fract_x
_atom_site_fract_y
_atom_site_fract_z
Zn1 Zn 0.000 0.000 0.000
Si1 Si 0.500 0.500 0.500
C1 C 0.000 0.500 0.500
# Total magnetic moment, μB per formula unit: 0.0
# Energy above the lowest structure with this stoichiometry, eV per atom: 0.000
# ΔE_f (raw), eV/f.u.: 10.0

Record 6
# Pm2Y7In2 PBE optimized geometry
data_Pm2Y7In2
_chemical_formula_sum 'Pm4 Y14 In4'
_symmetry_space_group_name_H-M 'C 1 2/m 1'
_symmetry_Int_Tables_number 12
_cell_length_a 8.621
_cell_length_b 9.819
_cell_length_c 8.538
_cell_angle_alpha 90.00
_cell_angle_beta 108.18
_cell_angle_gamma 90.00
loop_
_symmetry_equiv_pos_as_xyz
'x,y,z'
'-x,-y,-z'
'-x,y,-z'
'x,-y,z'
'x+1/2,y+1/2,z'
'-x+1/2,-y+1/2,-z'
'-x+1/2,y+1/2,-z'
'x+1/2,-y+1/2,z'
loop_
_atom_site_label
_atom_site_type_symbol
_atom_site_fract_x
_atom_site_fract_y
_atom_site_fract_z
Pm1 Pm 0.000 0.180 0.000
Y1 Y 0.000 0.500 0.500
Y2 Y 0.143 0.500 0.915
Y3 Y 0.202 0.180 0.674
In1 In 0.126 0.000 0.337
# Total magnetic moment, μB per formula unit: 0.0
# DFT formation energy, eV per atom: -0.155

Record 7
# Te2Cl PBE optimized geometry
data_Te2Cl
_chemical_formula_sum 'Te16 Cl8'
_symmetry_space_group_name_H-M 'P n m a'
_symmetry_Int_Tables_number 62
_cell_length_a 16.300
_cell_length_b 3.987
_cell_length_c 13.074
_cell_angle_alpha 90.00
_cell_angle_beta 90.00
_cell_angle_gamma 90.00
loop_
_symmetry_equiv_pos_as_xyz
'x,y,z'
'-x,-y,-z'
'-x+1/2,-y,z+1/2'
'x+1/2,y,-z+1/2'
'x+1/2,-y+1/2,-z+1/2'
'-x+1/2,y+1/2,z+1/2'
'-x,y+1/2,-z'
'x,-y+1/2,z'
loop_
_atom_site_label
_atom_site_type_symbol
_atom_site_fract_x
_atom_site_fract_y
_atom_site_fract_z
Te1 Te 0.083 0.250 0.245
Te2 Te 0.096 0.750 0.088
Te3 Te 0.185 0.750 0.712
Te4 Te 0.220 0.250 0.563
Cl1 Cl 0.070 0.750 0.393
Cl2 Cl 0.154 0.250 0.863
# Total magnetic moment, μB per formula unit: 0.0
# Energy above the lowest structure with this stoichiometry, eV per atom: 0.000
# ΔE_f (raw), eV/f.u.: -0.7

Record 8
# PdSe3Cl PBE optimized geometry
data_PdSe3Cl
_chemical_formula_sum 'Pd1 Se3 Cl1'
_symmetry_space_group_name_H-M 'P m -3 m'
_symmetry_Int_Tables_number 221
_symmetry_space_group_name_Hall '-P 4 2 3'
_cell_length_a 4.927
_cell_length_b 4.927
_cell_length_c 4.927
_cell_angle_alpha 90.00
_cell_angle_beta 90.00
_cell_angle_gamma 90.00
loop_
_atom_site_label
_atom_site_type_symbol
_atom_site_fract_x
_atom_site_fract_y
_atom_site_fract_z
Pd1 Pd 0.000 0.000 0.000
Se1 Se 0.000 0.500 0.500
Cl1 Cl 0.500 0.500 0.500
# Total magnetic moment, μB per formula unit: 0.0
# Energy above the lowest structure with this stoichiometry, eV per atom: 1.022
# ΔE_f (raw), eV/f.u.: 5.4

Record 9
# RbPdClF2 PBE optimized geometry
data_RbPdClF2
_chemical_formula_sum 'Rb1 Pd1 Cl1 F2'
_symmetry_space_group_name_H-M 'P 4/m m m'
_symmetry_Int_Tables_number 123
_symmetry_space_group_name_Hall '-P 4 2'
_cell_length_a 4.451
_cell_length_b 4.451
_cell_length_c 4.866
_cell_angle_alpha 90.00
_cell_angle_beta 90.00
_cell_angle_gamma 90.00
loop_
_atom_site_label
_atom_site_type_symbol
_atom_site_fract_x
_atom_site_fract_y
_atom_site_fract_z
Rb1 Rb 0.000 0.000 0.000
Pd1 Pd 0.500 0.500 0.500
Cl1 Cl 0.500 0.500 0.000
F1 F 0.000 0.500 0.500
# Total magnetic moment, μB per formula unit: 0.0
# ΔE_f (raw), eV/f.u.: -7.7

Record 10
# NaLiY3 PBE optimized geometry
data_NaLiY3
_chemical_formula_sum 'Na1 Li1 Y3'
_symmetry_space_group_name_H-M 'P m -3 m'
_symmetry_Int_Tables_number 221
_symmetry_space_group_name_Hall '-P 4 2 3'
_cell_length_a 5.683
_cell_length_b 5.683
_cell_length_c 5.683
_cell_angle_alpha 90.00
_cell_angle_beta 90.00
_cell_angle_gamma 90.00
loop_
_atom_site_label
_atom_site_type_symbol
_atom_site_fract_x
_atom_site_fract_y
_atom_site_fract_z
Na1 Na 0.000 0.000 0.000
Li1 Li 0.500 0.500 0.500
Y1 Y 0.000 0.000 0.500
# Total magnetic moment, μB per formula unit: 2.9
# DFT formation energy, eV per atom: 0.915
# Energy above the lowest structure with this stoichiometry, eV per atom: 0.362

Record 11
# FeRe2Pb PBE optimized geometry
data_FeRe2Pb
_chemical_formula_sum 'Fe2 Re4 Pb2'
_symmetry_space_group_name_H-M 'C m m m'
_symmetry_Int_Tables_number 65
_symmetry_space_group_name_Hall '-C 2 2'
_cell_length_a 5.278
_cell_length_b 8.291
_cell_length_c 3.007
_cell_angle_alpha 90.00
_cell_angle_beta 90.00
_cell_angle_gamma 90.00
loop_
_atom_site_label
_atom_site_type_symbol
_atom_site_fract_x
_atom_site_fract_y
_atom_site_fract_z
Fe1 Fe 0.000 0.000 0.000
Re1 Re 0.250 0.250 0.500
Pb1 Pb 0.000 0.500 0.000
# Total magnetic moment, μB per formula unit: 2.0
# DFT formation energy, eV per atom: 0.992

Record 12
# LiSc2Pb PBE optimized geometry
data_LiSc2Pb
_chemical_formula_sum 'Li1 Sc2 Pb1'
_symmetry_space_group_name_H-M 'P 1 m 1'
_symmetry_Int_Tables_number 6
_cell_length_a 3.404
_cell_length_b 4.579
_cell_length_c 6.073
_cell_angle_alpha 90.00
_cell_angle_beta 106.27
_cell_angle_gamma 90.00
loop_
_symmetry_equiv_pos_as_xyz
'x,y,z'
'x,-y,z'
loop_
_atom_site_label
_atom_site_type_symbol
_atom_site_fract_x
_atom_site_fract_y
_atom_site_fract_z
Li1 Li 0.000 0.000 0.000
Sc1 Sc 0.400 0.500 0.797
Sc2 Sc 0.746 0.000 0.489
Pb1 Pb 0.136 0.500 0.268
# Total magnetic moment, μB per formula unit: 0.8
# DFT formation energy, eV per atom: -0.206